Here is a geometry-optimized Ba12In3N5 structure from Alexandria via LeMat-Bulk. Energies are from PBE-GGA.

Lattice parameters (Å, degrees): 15.8093 15.8093 15.8093 109.47 109.47 109.47
Site moments in Bohr magnetons follow the coordinates.
Fractional positions:
N 0.1250 0.7500 0.3750  0.04
Ba 0.9172 0.8160 0.8046  0.04
Ba 0.0113 0.6126 0.6954  0.04
Ba 0.3988 0.0113 0.3160  0.04
N 0.7500 0.1250 0.8750  0.04
Ba 0.5828 0.8874 0.3988  0.04
In 0.7500 0.3750 0.1250  0.22
N 0.3750 0.1250 0.7500  0.04
In 0.3750 0.6250 0.2500  0.22
Ba 0.1126 0.4172 0.1012  0.04
Ba 0.4172 0.1126 0.6012  0.04
Ba 0.3874 0.3988 0.0828  0.04
Ba 0.0828 0.8988 0.3874  0.04
Ba 0.1954 0.6840 0.0828  0.04
Ba 0.8046 0.4887 0.3874  0.04
Ba 0.6840 0.4887 0.6012  0.04
Ba 0.0113 0.3988 0.8160  0.04
Ba 0.1840 0.1012 0.9887  0.04
N 0.3750 0.2500 0.1250  0.04
Ba 0.5113 0.1954 0.1126  0.04
N 0.0000 0.5000 0.5000  0.12
N 0.2500 0.8750 0.1250  0.04
Ba 0.8160 0.8988 0.0113  0.04
Ba 0.3874 0.9887 0.8046  0.04
N 0.5000 0.5000 0.0000  0.12
Ba 0.6954 0.5828 0.1840  0.04
In 0.6250 0.2500 0.3750  0.22
Ba 0.6840 0.1954 0.5828  0.04
In 0.2500 0.6250 0.8750  0.22
In 0.1250 0.8750 0.7500  0.22
N 0.0000 0.5000 0.0000  0.12
In 0.3750 0.7500 0.6250  0.22
Ba 0.6954 0.1126 0.0113  0.04
Ba 0.1012 0.1840 0.4887  0.04
In 0.7500 0.8750 0.6250  0.22
N 0.0000 0.0000 0.0000  0.12
N 0.8750 0.2500 0.6250  0.04
Ba 0.8046 0.3160 0.9172  0.04
N 0.1250 0.3750 0.2500  0.04
Ba 0.0828 0.1840 0.1954  0.04
N 0.5000 0.0000 0.0000  0.12
Ba 0.1126 0.6954 0.5113  0.04
Ba 0.8160 0.9172 0.3046  0.04
Ba 0.1954 0.5113 0.6126  0.04
Ba 0.3046 0.8874 0.9887  0.04
In 0.8750 0.7500 0.1250  0.22
Ba 0.9887 0.6012 0.1840  0.04
Ba 0.1012 0.9172 0.1126  0.04
Ba 0.8988 0.8160 0.5113  0.04
In 0.6250 0.3750 0.7500  0.22
Ba 0.5113 0.3160 0.8988  0.04
N 0.2500 0.3750 0.6250  0.04
N 0.6250 0.8750 0.2500  0.04
N 0.0000 0.0000 0.5000  0.12
Ba 0.6126 0.0113 0.1954  0.04
N 0.5000 0.5000 0.5000  0.12
N 0.6250 0.7500 0.8750  0.04
Ba 0.6012 0.6126 0.4172  0.04
Ba 0.3160 0.8046 0.4172  0.04
Ba 0.3160 0.5113 0.3988  0.04
Ba 0.4172 0.3046 0.3160  0.04
Ba 0.1840 0.0828 0.6954  0.04
In 0.1250 0.2500 0.8750  0.22
Ba 0.9887 0.3874 0.3046  0.04
N 0.5000 0.0000 0.5000  0.12
Ba 0.8988 0.0828 0.8874  0.04
Ba 0.6012 0.9887 0.6840  0.04
Ba 0.8874 0.3046 0.4887  0.04
N 0.7500 0.6250 0.3750  0.04
Ba 0.8874 0.5828 0.8988  0.04
Ba 0.9172 0.1012 0.6126  0.04
In 0.8750 0.1250 0.2500  0.22
Ba 0.3046 0.4172 0.8160  0.04
N 0.8750 0.6250 0.7500  0.04
Ba 0.5828 0.6954 0.6840  0.04
In 0.2500 0.1250 0.3750  0.22
Ba 0.4887 0.8046 0.8874  0.04
Ba 0.3988 0.3874 0.5828  0.04
Ba 0.6126 0.6012 0.9172  0.04
Ba 0.4887 0.6840 0.1012  0.04

Calculated values
For the uncorrected formation energy, the calculation gives -0.24 eV/atom. Its theoretical density is 4.504 g/cm³. The value obtained for the spin magnetization is 3.98 μB/f.u. As for the density of states at the Fermi level: 0.833 states/eV per atom.